(1)
A relaxed structure of Ho3GaSe2. Source: Alexandria, functional PBE.

## Properties
Volume in Å³/cell: 146
SG: Immm
Formation energy from raw total energies in eV/f.u.: -8.43

a b c (Å): 7.227 7.227 7.227
angles (deg): 148.02 132.77 58.18
Positions (direct):
Ho (0.000, 0.000, 0.000)
Ho (0.335, 0.335, 0.000)
Ho (0.665, 0.665, 0.000)
Ga (0.500, 0.000, 0.500)
Se (0.169, 0.669, 0.500)
Se (0.831, 0.331, 0.500)



(2)
A relaxed structure of Pa2Ga2Se7. Source: Alexandria, functional PBE.

## Properties
Volume in Å³/cell: 347
SG: C2/m
Formation energy from raw total energies in eV/f.u.: -8.83

a b c (Å): 7.160 7.160 7.133
angles (deg): 97.20 97.20 104.31
Positions (direct):
Pa (0.189, 0.811, 0.000)
Pa (0.811, 0.189, 0.000)
Ga (0.259, 0.259, 0.594)
Ga (0.741, 0.741, 0.406)
Se (0.054, 0.427, 0.784)
Se (0.096, 0.096, 0.241)
Se (0.427, 0.054, 0.784)
Se (0.500, 0.500, 0.500)
Se (0.573, 0.946, 0.216)
Se (0.904, 0.904, 0.759)
Se (0.946, 0.573, 0.216)



(3)
A relaxed structure of La8Pm3Dy. Source: Alexandria, functional PBE.

## Properties
Calculated formation energy in eV/atom: 0.29
Volume in Å³/cell: 457
SG: Immm

a b c (Å): 8.856 8.856 8.856
angles (deg): 134.38 100.90 96.40
Positions (direct):
La (0.084, 0.248, 0.836)
La (0.272, 0.223, 0.495)
La (0.272, 0.777, 0.048)
La (0.411, 0.248, 0.164)
La (0.589, 0.752, 0.836)
La (0.728, 0.223, 0.952)
La (0.728, 0.777, 0.505)
La (0.916, 0.752, 0.164)
Pm (0.257, 0.757, 0.500)
Pm (0.500, 0.500, 0.000)
Pm (0.743, 0.243, 0.500)
Dy (0.000, 0.000, 0.000)



(4)
A relaxed structure of KNaOsBr6. Source: Alexandria, functional PBE.

## Properties
Volume in Å³/cell: 631
SG: P-31c
Formation energy from raw total energies in eV/f.u.: -6.97

a b c (Å): 7.322 7.322 13.592
angles (deg): 90.00 90.00 120.00
Positions (direct):
K (0.000, 0.000, 0.000)
K (0.000, 0.000, 0.500)
Na (0.333, 0.667, 0.250)
Na (0.667, 0.333, 0.750)
Os (0.333, 0.667, 0.750)
Os (0.667, 0.333, 0.250)
Br (0.048, 0.394, 0.643)
Br (0.048, 0.655, 0.857)
Br (0.345, 0.394, 0.857)
Br (0.345, 0.952, 0.643)
Br (0.394, 0.048, 0.143)
Br (0.394, 0.345, 0.357)
Br (0.606, 0.655, 0.643)
Br (0.606, 0.952, 0.857)
Br (0.655, 0.048, 0.357)
Br (0.655, 0.606, 0.143)
Br (0.952, 0.345, 0.143)
Br (0.952, 0.606, 0.357)